NaCaGa2Ge2 | GGA-PBE | optimized geometry

Cell lengths 4.5610, 4.5610, 7.1202 Å; angles 90.00, 90.00, 120.00 degrees
Space group P-3m1 (No. 164)
Symmetry-distinct sites (fractional):
Na: 0.0000 0.0000 0.0000
Ca: 0.0000 0.0000 0.5000
Ga: 0.3333 0.6667 0.1754
Ge: 0.3333 0.6667 0.7596

Calculated values
Size of the total moment, μB/atom: 0.000
DFT formation energy, eV per formula unit: -1.5


RePCl2 | GGA-PBE | optimized geometry

Cell lengths 2.9711, 2.9711, 29.2718 Å; angles 90.00, 90.00, 120.00 degrees
Space group R-3m (No. 166, hexagonal axes)
Symmetry-distinct sites (fractional):
Re: 0.0000 0.0000 0.0000
P: 0.0000 0.0000 0.5000
Cl: 0.0000 0.0000 0.2713

Calculated values
E above lowest polymorph, meV per atom: 986
ΔE_f (raw), meV/atom: 704
Size of the total moment, μB/atom: 0.025


LiScFe2 | GGA-PBE | optimized geometry

Cell lengths 2.9081, 2.9081, 26.5166 Å; angles 90.00, 90.00, 120.00 degrees
Space group R3m (No. 160, hexagonal axes)
Symmetry-distinct sites (fractional):
Li: 0.0000 0.0000 0.0000
Sc: 0.0000 0.0000 0.7710
Fe: 0.0000 0.0000 0.2507
Fe: 0.0000 0.0000 0.5185

Calculated values
Size of the total moment, μB/atom: 1.223
DFT formation energy, eV per formula unit: 1.3


TaPAu2 | GGA-PBE | optimized geometry

Cell lengths 3.595, 4.512, 8.934 Å; angles 90.00, 90.00, 90.00 degrees
Space group Cmm2 (No. 35)
Symmetry-distinct sites (fractional):
Ta: 0.000 0.000 0.000
P: 0.000 0.500 0.801
Au: 0.000 0.000 0.498
Au: 0.000 0.500 0.243

Calculated values
Size of the total moment, μB/atom: 0.000
DFT formation energy, eV per formula unit: 0.1


AcCd2PbAu4 | GGA-PBE | optimized geometry

Cell lengths 4.7904, 4.7904, 29.3982 Å; angles 90.00, 90.00, 120.00 degrees
Space group R-3m (No. 166, hexagonal axes)
Symmetry-distinct sites (fractional):
Ac: 0.0000 0.0000 0.0000
Cd: 0.0000 0.0000 0.2464
Pb: 0.0000 0.0000 0.5000
Au: 0.0000 0.0000 0.1164
Au: 0.0000 0.0000 0.3920

Calculated values
Size of the total moment, μB/atom: 0.000
DFT formation energy, eV per formula unit: -3.0


La2Pr2NdY2 | GGA-PBE | optimized geometry

Cell lengths 11.634, 5.212, 8.225 Å; angles 90.00, 98.15, 90.00 degrees
Space group C2/m (No. 12)
Symmetry-distinct sites (fractional):
La: 0.143 0.000 0.428
Pr: 0.071 0.500 0.718
Nd: 0.000 0.000 0.000
Y: 0.215 0.500 0.139

Calculated values
Size of the total moment, μB/atom: 0.000
DFT formation energy, eV per formula unit: 0.1


LiSiB | GGA-PBE | optimized geometry

Cell lengths 6.099, 3.472, 6.054 Å; angles 90.00, 90.00, 90.00 degrees
Space group Pnma (No. 62)
Symmetry-distinct sites (fractional):
Li: 0.032 0.250 0.165
Si: 0.157 0.250 0.583
B: 0.195 0.750 0.395

Calculated values
ΔE_f (raw), meV/atom: -76
Size of the total moment, μB/atom: 0.000


RbLi3Pb10 | GGA-PBE | optimized geometry

Cell lengths 14.916, 14.916, 14.916 Å; angles 90.00, 90.00, 90.00 degrees
Space group Fm-3m (No. 225)
Symmetry-distinct sites (fractional):
Rb: 0.250 0.250 0.250
Li: 0.000 0.000 0.231
Pb: 0.000 0.169 0.331
Pb: 0.112 0.112 0.112

Calculated values
Size of the total moment, μB/atom: 0.000
DFT formation energy, eV per formula unit: -0.9


CePmRh2 | GGA-PBE | optimized geometry

Cell lengths 4.0206, 4.0206, 20.0304 Å; angles 90.00, 90.00, 120.00 degrees
Space group R-3m (No. 166, hexagonal axes)
Symmetry-distinct sites (fractional):
Ce: 0.0000 0.0000 0.0000
Pm: 0.0000 0.0000 0.5000
Rh: 0.0000 0.0000 0.2568

Calculated values
E above lowest polymorph, meV per atom: 97
Size of the total moment, μB/atom: 0.000
DFT formation energy, eV per formula unit: -2.6


LaSmMgSn | GGA-PBE | optimized geometry

Cell lengths 7.742, 7.742, 7.742 Å; angles 90.00, 90.00, 90.00 degrees
Space group F-43m (No. 216)
Symmetry-distinct sites (fractional):
La: 0.000 0.000 0.000
Sm: 0.000 0.000 0.500
Mg: 0.250 0.250 0.250
Sn: 0.250 0.250 0.750

Calculated values
Size of the total moment, μB/atom: 0.000
DFT formation energy, eV per formula unit: -1.8


BaZn4Pt | GGA-PBE | optimized geometry

Cell lengths 4.866, 4.866, 7.209 Å; angles 90.00, 90.17, 90.00 degrees
Space group P2/m (No. 10)
Symmetry-distinct sites (fractional):
Ba: 0.000 0.000 0.000
Zn: 0.000 0.500 0.500
Zn: 0.500 0.000 0.500
Zn: 0.500 0.500 0.167
Pt: 0.500 0.500 0.500

Calculated values
E above lowest polymorph, meV per atom: 159
Size of the total moment, μB/atom: 0.000
DFT formation energy, eV per formula unit: -1.2


KNaRuBr6 | GGA-PBE | optimized geometry

Cell lengths 7.267, 12.603, 6.915 Å; angles 90.00, 90.03, 90.00 degrees
Space group C2 (No. 5)
Symmetry-distinct sites (fractional):
K: 0.000 0.000 0.000
Na: 0.000 0.334 0.500
Ru: 0.000 0.667 0.500
Br: 0.131 0.523 0.288
Br: 0.149 0.804 0.288
Br: 0.219 0.173 0.289

Calculated values
ΔE_f (raw), meV/atom: -835
Size of the total moment, μB/atom: 0.222